Entry from the Alexandria database: an optimized crystal structure of SrH4Pd5 (PBE).

Cell: 4.766 5.981 8.575 Å, 90.00 90.00 90.00°
Fractional coordinates of all 20 atoms:
Sr1 0.763 0.000 0.000
Sr2 0.237 0.500 0.500
H1 0.160 0.000 0.724
H2 0.438 0.672 0.000
H3 0.438 0.328 0.000
H4 0.160 0.000 0.276
H5 0.840 0.500 0.224
H6 0.562 0.828 0.500
H7 0.562 0.172 0.500
H8 0.840 0.500 0.776
Pd1 0.246 0.739 0.830
Pd2 0.246 0.261 0.830
Pd3 0.766 0.500 0.000
Pd4 0.246 0.739 0.170
Pd5 0.246 0.261 0.170
Pd6 0.754 0.761 0.330
Pd7 0.754 0.239 0.330
Pd8 0.234 0.000 0.500
Pd9 0.754 0.239 0.670
Pd10 0.754 0.761 0.670

Its final energy is -0.1594 Ha/atom. The space group is No. 59.



Entry from the Alexandria database: an optimized crystal structure of CeMg2Cd10 (PBE).

Cell: 6.004 7.659 7.611 Å, 81.11 66.77 66.92°
Site moments in Bohr magnetons follow the coordinates.
Fractional coordinates of all 13 atoms:
Ce1 0.000 0.000 0.000  0.97
Mg1 0.000 0.500 0.000  0.00
Mg2 0.500 0.500 0.000  0.00
Cd1 0.349 0.648 0.655  0.00
Cd2 0.651 0.352 0.345  0.00
Cd3 0.997 0.352 0.655  0.00
Cd4 0.003 0.648 0.345  0.00
Cd5 0.000 0.000 0.500  0.00
Cd6 0.500 0.000 0.500  0.00
Cd7 0.285 0.217 0.213  0.00
Cd8 0.715 0.783 0.787  0.00
Cd9 0.502 0.783 0.213  0.00
Cd10 0.498 0.217 0.787  0.00

The space group is No. 69. For the calculated formation energy, the calculation gives -11.6 kJ/mol of atoms.



Entry from the Alexandria database: an optimized crystal structure of Ca2Nd5Dy (PBE).

Cell: 5.212 5.212 11.249 Å, 103.39 103.39 90.00°
Fractional coordinates of all 8 atoms:
Ca1 0.750 0.750 0.499
Ca2 0.250 0.250 0.501
Nd1 0.500 0.500 0.000
Nd2 0.382 0.882 0.765
Nd3 0.882 0.382 0.765
Nd4 0.618 0.118 0.235
Nd5 0.118 0.618 0.235
Dy1 0.000 0.000 0.000

The space group is No. 139. For the calculated formation energy, the calculation gives 4.1 kJ/mol of atoms.



Entry from the Alexandria database: an optimized crystal structure of NaTiVCl6 (PBE).

Cell: 6.278 6.278 12.699 Å, 90.00 90.00 120.00°
Site moments in Bohr magnetons follow the coordinates.
Fractional coordinates of all 18 atoms:
Na1 0.000 0.000 0.000  0.00
Na2 0.000 0.000 0.500  0.00
Ti1 0.667 0.333 0.250  1.11
Ti2 0.333 0.667 0.750  1.11
V1 0.333 0.667 0.250  2.42
V2 0.667 0.333 0.750  2.42
Cl1 0.643 0.643 0.140  -0.01
Cl2 0.000 0.357 0.140  -0.01
Cl3 0.357 0.000 0.640  -0.01
Cl4 0.000 0.643 0.860  -0.01
Cl5 0.357 0.357 0.360  -0.01
Cl6 0.000 0.643 0.360  -0.01
Cl7 0.643 0.000 0.860  -0.01
Cl8 0.643 0.000 0.360  -0.01
Cl9 0.000 0.357 0.640  -0.01
Cl10 0.357 0.000 0.140  -0.01
Cl11 0.643 0.643 0.640  -0.01
Cl12 0.357 0.357 0.860  -0.01

As for the uncorrected formation energy: -1486 meV/atom. The space group is No. 163.



Entry from the Alexandria database: an optimized crystal structure of K2Ge3 (PBE).

Cell: 5.555 8.706 9.053 Å, 61.26 78.45 65.39°
Fractional coordinates of all 10 atoms:
K1 0.000 0.898 0.203
K2 0.000 0.102 0.797
K3 0.500 0.500 0.500
K4 0.500 0.000 0.500
Ge1 0.514 0.644 0.000
Ge2 0.486 0.356 0.000
Ge3 0.111 0.426 0.827
Ge4 0.889 0.746 0.827
Ge5 0.111 0.254 0.173
Ge6 0.889 0.574 0.173

The space group is No. 12. For the calculated formation energy, the calculation gives 11.7 kJ/mol of atoms.



Entry from the Alexandria database: an optimized crystal structure of Pr3Y7Ho (PBE).

Cell: 8.739 7.143 7.143 Å, 120.00 90.00 90.00°
Fractional coordinates of all 11 atoms:
Pr1 0.783 0.500 0.500
Pr2 0.783 0.500 0.999
Pr3 0.783 0.001 0.500
Y1 0.121 0.168 0.832
Y2 0.121 0.168 0.335
Y3 0.121 0.667 0.333
Y4 0.446 0.833 0.167
Y5 0.446 0.335 0.167
Y6 0.446 0.833 0.665
Y7 0.121 0.665 0.832
Ho1 0.445 0.333 0.667

Its energy relative to the lowest polymorph listed for this composition is 33 meV/atom. The space group is No. 156. For the calculated formation energy, the calculation gives 16.8 kJ/mol of atoms.



Entry from the Alexandria database: an optimized crystal structure of FeRe2Te (PBE).

Cell: 3.776 2.937 6.382 Å, 78.33 90.00 90.00°
Site moments in Bohr magnetons follow the coordinates.
Fractional coordinates of all 4 atoms:
Fe1 0.500 0.662 0.789  2.28
Re1 0.000 0.096 0.991  -0.01
Re2 0.500 0.455 0.177  0.11
Te1 0.000 0.286 0.543  0.02

As for the uncorrected formation energy: 553 meV/atom. The space group is No. 6.



Entry from the Alexandria database: an optimized crystal structure of MnAlCo4 (PBE).

Cell: 4.693 4.693 4.693 Å, 60.00 60.00 60.00°
Site moments in Bohr magnetons follow the coordinates.
Fractional coordinates of all 6 atoms:
Mn1 0.750 0.750 0.750  3.36
Al1 0.000 0.000 0.000  -0.04
Co1 0.875 0.375 0.375  1.56
Co2 0.375 0.375 0.875  1.56
Co3 0.375 0.875 0.375  1.56
Co4 0.375 0.375 0.375  1.56

The space group is No. 216. For the calculated formation energy, the calculation gives -7.3 kJ/mol of atoms.



| no. | size of the total moment (μB/f.u.) |
| --- | --- |
| 1 | 0.00 |
| 2 | 1.03 |
| 3 | 0.00 |
| 4 | 4.00 |
| 5 | 0.00 |
| 6 | 0.00 |
| 7 | 2.44 |
| 8 | 9.53 |